Model i:
DFT (PBE) results for a relaxed ZrRh2Br crystal.

a b c (Å): 4.641 4.641 3.359
angles (deg): 90.00 90.00 102.77
Sites, in units of the cell vectors:
Br (0.000, 0.500, 0.500)
Zr (0.500, 0.000, 0.500)
Rh (0.000, 0.000, 0.000)
Rh (0.500, 0.500, 0.000)

=====

Model ii:
DFT (PBE) results for a relaxed ZrRh2Br crystal.

a b c (Å): 3.223 4.777 4.442
angles (deg): 90.00 90.00 90.00
Sites, in units of the cell vectors:
Br (0.000, 0.500, 0.500)
Zr (0.500, 0.000, 0.500)
Rh (0.500, 0.500, 0.000)
Rh (0.000, 0.000, 0.000)

=====

Which of them is the least stable? Correct choice: model i.

=====

Model i:
DFT (PBE) results for a relaxed ZrRh2Br crystal.

a b c (Å): 3.414 3.445 7.452
angles (deg): 76.71 90.00 90.00
Sites, in units of the cell vectors:
Zr (0.000, 0.587, 0.451)
Br (0.500, 0.963, 0.702)
Rh (0.000, 0.756, 0.111)
Rh (0.500, 0.194, 0.236)

=====

Model ii:
DFT (PBE) results for a relaxed ZrRh2Br crystal.

a b c (Å): 8.218 8.218 8.218
angles (deg): 23.38 23.38 23.38
Sites, in units of the cell vectors:
Rh (0.994, 0.994, 0.994)
Rh (0.506, 0.506, 0.506)
Br (0.750, 0.750, 0.750)
Zr (0.250, 0.250, 0.250)

=====

Model iii:
DFT (PBE) results for a relaxed ZrRh2Br crystal.

a b c (Å): 5.772 5.772 7.133
angles (deg): 66.13 66.13 90.00
Sites, in units of the cell vectors:
Zr (0.000, 0.000, 0.000)
Br (0.250, 0.750, 0.500)
Rh (0.132, 0.625, 0.250)
Zr (0.750, 0.250, 0.500)
Br (0.500, 0.500, 0.000)
Rh (0.375, 0.382, 0.750)
Rh (0.875, 0.868, 0.750)
Rh (0.618, 0.125, 0.250)

=====

Which of them is the least stable? Correct choice: model iii.

=====

Model i:
DFT (PBE) results for a relaxed ZrRh2Br crystal.

a b c (Å): 5.288 5.288 5.288
angles (deg): 143.85 127.75 65.18
Sites, in units of the cell vectors:
Zr (0.250, 0.750, 0.500)
Br (0.750, 0.250, 0.500)
Rh (0.991, 0.991, 0.000)
Rh (0.509, 0.509, 0.000)

=====

Model ii:
DFT (PBE) results for a relaxed ZrRh2Br crystal.

a b c (Å): 3.425 3.425 7.582
angles (deg): 90.00 90.00 90.00
Sites, in units of the cell vectors:
Br (0.500, 0.500, 0.687)
Zr (0.000, 0.000, 0.448)
Rh (0.000, 0.000, 0.124)
Rh (0.500, 0.500, 0.241)

=====

Model iii:
DFT (PBE) results for a relaxed ZrRh2Br crystal.

a b c (Å): 3.345 3.371 6.546
angles (deg): 90.00 90.00 90.00
Sites, in units of the cell vectors:
Rh (0.000, 0.000, 0.468)
Zr (0.500, 0.500, 0.250)
Rh (0.000, 0.000, 0.032)
Br (0.500, 0.500, 0.750)

=====

Model iv:
DFT (PBE) results for a relaxed ZrRh2Br crystal.

a b c (Å): 5.018 5.018 5.018
angles (deg): 131.60 131.60 70.86
Sites, in units of the cell vectors:
Rh (0.000, 0.000, 0.000)
Br (0.750, 0.250, 0.500)
Rh (0.500, 0.500, 0.000)
Zr (0.250, 0.750, 0.500)

=====

Which of them is the least stable? Correct choice: model iv.

=====

Model i:
DFT (PBE) results for a relaxed ZrRhBr3 crystal.

a b c (Å): 5.034 5.034 5.034
angles (deg): 90.00 90.00 90.00
Each line ends with the local moment (μB).
Sites, in units of the cell vectors:
Br (0.000, 0.000, 0.500)  -0.02
Rh (0.000, 0.000, 0.000)  -0.05
Zr (0.500, 0.500, 0.500)  1.55
Br (0.500, 0.000, 0.000)  -0.04
Br (0.000, 0.500, 0.000)  -0.05

=====

Model ii:
DFT (PBE) results for a relaxed ZrRhBr3 crystal.

a b c (Å): 5.286 5.286 5.286
angles (deg): 90.00 90.00 90.00
Sites, in units of the cell vectors:
Br (0.000, 0.000, 0.500)
Br (0.500, 0.000, 0.000)
Rh (0.500, 0.500, 0.500)
Zr (0.000, 0.000, 0.000)
Br (0.000, 0.500, 0.000)

=====

Which of them is the least stable? Correct choice: model i.

=====

Model i:
DFT (PBE) results for a relaxed Ru2Br crystal.

a b c (Å): 6.462 6.462 4.015
angles (deg): 90.00 90.00 120.00
Sites, in units of the cell vectors:
Br (0.000, 0.000, 0.500)
Ru (0.373, 0.373, 0.500)
Br (0.333, 0.667, 0.000)
Ru (0.000, 0.627, 0.500)
Ru (0.627, 0.000, 0.500)
Ru (0.000, 0.252, 0.000)
Ru (0.252, 0.000, 0.000)
Br (0.667, 0.333, 0.000)
Ru (0.748, 0.748, 0.000)

=====

Model ii:
DFT (PBE) results for a relaxed Ru2Br crystal.

a b c (Å): 4.119 4.119 4.119
angles (deg): 60.00 60.00 60.00
Sites, in units of the cell vectors:
Br (0.000, 0.000, 0.000)
Ru (0.250, 0.250, 0.250)
Ru (0.750, 0.750, 0.750)

=====

Which of them is the least stable? Correct choice: model i.

=====

Model i:
DFT (PBE) results for a relaxed RuBr crystal.

a b c (Å): 3.121 3.478 8.500
angles (deg): 90.00 90.00 90.00
Each line ends with the local moment (μB).
Sites, in units of the cell vectors:
Ru (0.500, 0.500, 0.758)  0.45
Br (0.000, 0.500, 0.385)  0.00
Br (0.000, 0.000, 0.948)  0.00
Ru (0.500, 0.000, 0.575)  0.45

=====

Model ii:
DFT (PBE) results for a relaxed RuBr crystal.

a b c (Å): 9.926 9.926 3.737
angles (deg): 90.00 90.00 120.00
Sites, in units of the cell vectors:
Ru (0.567, 0.994, 0.750)
Br (0.646, 0.781, 0.750)
Br (0.219, 0.865, 0.750)
Br (0.354, 0.219, 0.250)
Ru (0.433, 0.006, 0.250)
Ru (0.573, 0.567, 0.250)
Ru (0.006, 0.573, 0.750)
Br (0.781, 0.135, 0.250)
Ru (0.427, 0.433, 0.750)
Br (0.135, 0.354, 0.750)
Br (0.865, 0.646, 0.250)
Ru (0.994, 0.427, 0.250)

=====

Which of them is the least stable? Correct choice: model i.